Entry 1:
Li7Ni9O18 | PBEsol | optimized geometry

Calculated values
- E_form (uncorrected): -1213 meV per atom

Cell lengths 5.7312, 6.3742, 8.5591 Å; angles 77.01, 89.76, 76.28 degrees
Fractional positions:
Li: 0.0000 0.0000 0.0000
Li: 0.0101 0.9868 0.3300
Li: 0.3386 0.6571 0.5548
Li: 0.3452 0.6602 0.8957
Li: 0.6548 0.3398 0.1043
Li: 0.6614 0.3429 0.4452
Li: 0.9899 0.0132 0.6700
Ni: 0.1648 0.3369 0.1093
Ni: 0.1680 0.3333 0.4396
Ni: 0.1686 0.3344 0.7763
Ni: 0.4953 0.9939 0.3343
Ni: 0.5000 0.0000 0.0000
Ni: 0.5047 0.0061 0.6657
Ni: 0.8314 0.6656 0.2237
Ni: 0.8320 0.6667 0.5604
Ni: 0.8352 0.6631 0.8907
O: 0.0550 0.6534 0.3981
O: 0.0627 0.6510 0.7252
O: 0.0674 0.6500 0.0477
O: 0.2521 0.0281 0.1504
O: 0.2607 0.0122 0.4883
O: 0.2767 0.0182 0.8265
O: 0.3861 0.3289 0.9501
O: 0.3981 0.3067 0.2756
O: 0.3982 0.3184 0.5957
O: 0.6018 0.6816 0.4043
O: 0.6019 0.6933 0.7244
O: 0.6139 0.6711 0.0499
O: 0.7233 0.9818 0.1735
O: 0.7393 0.9878 0.5117
O: 0.7479 0.9719 0.8496
O: 0.9326 0.3500 0.9523
O: 0.9373 0.3490 0.2748
O: 0.9450 0.3466 0.6019

Entry 2:
LiNiO2 | PBEsol | optimized geometry

Calculated values
- E_form (uncorrected): -1316 meV per atom

Cell lengths 4.9902, 4.9902, 4.9902 Å; angles 133.52, 133.52, 67.84 degrees
Fractional positions:
Li: 0.3750 0.6250 0.7500
Li: 0.6250 0.3750 0.2500
Ni: 0.1250 0.8750 0.2500
Ni: 0.8750 0.1250 0.7500
O: 0.1012 0.3512 0.7500
O: 0.3512 0.1012 0.2500
O: 0.6488 0.8988 0.7500
O: 0.8988 0.6488 0.2500

Entry 3:
LiNiPO4 | PBEsol | optimized geometry

Calculated values
- E_form (uncorrected): -1792 meV per atom

Cell lengths 9.5630, 4.7581, 7.0927 Å; angles 90.00, 90.00, 90.00 degrees
Fractional positions:
Li: 0.1530 0.2042 0.0000
Li: 0.3470 0.7042 0.5000
Li: 0.6530 0.2958 0.0000
Li: 0.8470 0.7958 0.5000
Ni: 0.1449 0.2147 0.5000
Ni: 0.3551 0.7147 0.0000
Ni: 0.6449 0.2853 0.5000
Ni: 0.8551 0.7853 0.0000
P: 0.0951 0.6944 0.2492
P: 0.4049 0.1944 0.7492
P: 0.5951 0.8056 0.2492
P: 0.9049 0.3056 0.7492
O: 0.0630 0.2338 0.7485
O: 0.1207 0.3723 0.2504
O: 0.1590 0.8179 0.4322
O: 0.1621 0.8118 0.0662
O: 0.3379 0.3118 0.5662
O: 0.3410 0.3179 0.9322
O: 0.3793 0.8723 0.7504
O: 0.4370 0.7338 0.2485
O: 0.5630 0.2662 0.7485
O: 0.6207 0.1277 0.2504
O: 0.6590 0.6821 0.4322
O: 0.6621 0.6882 0.0662
O: 0.8379 0.1882 0.5662
O: 0.8410 0.1821 0.9322
O: 0.8793 0.6277 0.7504
O: 0.9370 0.7662 0.2485

Entry 4:
LiNiPO4 | PBEsol | optimized geometry

Calculated values
- E_form (uncorrected): -1849 meV per atom

Cell lengths 4.6559, 5.8090, 9.9581 Å; angles 90.00, 90.00, 90.00 degrees
Fractional positions:
Li: 0.0002 0.2495 0.2502
Li: 0.9998 0.7495 0.2498
Li: 0.5002 0.2505 0.7498
Li: 0.4998 0.7505 0.7502
Ni: 0.0134 0.0001 0.9766
Ni: 0.4866 0.9999 0.4766
Ni: 0.5134 0.4999 0.0234
Ni: 0.9866 0.5001 0.5234
P: 0.0778 0.5001 0.8444
P: 0.4222 0.4999 0.3444
P: 0.5778 0.9999 0.1556
P: 0.9222 0.0001 0.6556
O: 0.2011 0.5002 0.6998
O: 0.2212 0.2892 0.9170
O: 0.2212 0.7109 0.9171
O: 0.2492 0.9999 0.1525
O: 0.2508 0.0001 0.6525
O: 0.2788 0.2891 0.4171
O: 0.2788 0.7108 0.4170
O: 0.2989 0.4998 0.1998
O: 0.7011 0.9998 0.3002
O: 0.7212 0.2108 0.0830
O: 0.7212 0.7891 0.0829
O: 0.7492 0.5001 0.8475
O: 0.7508 0.4999 0.3475
O: 0.7788 0.2109 0.5829
O: 0.7788 0.7892 0.5830
O: 0.7989 0.0002 0.8002

Entry 5:
LiNiPO4 | PBEsol | optimized geometry

Calculated values
- E_form (uncorrected): -1835 meV per atom

Cell lengths 10.1112, 6.0384, 4.6023 Å; angles 90.00, 90.00, 90.00 degrees
Fractional positions:
Li: 0.2174 0.2500 0.0157
Li: 0.2826 0.7500 0.5157
Li: 0.7174 0.2500 0.4843
Li: 0.7826 0.7500 0.9843
Ni: 0.0000 0.0000 0.5000
Ni: 0.0000 0.5000 0.5000
Ni: 0.5000 0.0000 0.0000
Ni: 0.5000 0.5000 0.0000
P: 0.0921 0.7500 0.0836
P: 0.4079 0.2500 0.5836
P: 0.5921 0.7500 0.4164
P: 0.9079 0.2500 0.9164
O: 0.0514 0.2500 0.7734
O: 0.0864 0.7500 0.7468
O: 0.1570 0.5392 0.2089
O: 0.1570 0.9608 0.2089
O: 0.3430 0.0392 0.7089
O: 0.3430 0.4608 0.7089
O: 0.4136 0.2500 0.2468
O: 0.4486 0.7500 0.2734
O: 0.5514 0.2500 0.7266
O: 0.5864 0.7500 0.7532
O: 0.6570 0.5392 0.2911
O: 0.6570 0.9608 0.2911
O: 0.8430 0.0392 0.7911
O: 0.8430 0.4608 0.7911
O: 0.9136 0.2500 0.2532
O: 0.9486 0.7500 0.2266

Entry 6:
LiNiPO4 | PBEsol | optimized geometry

Calculated values
- E_form (uncorrected): -1841 meV per atom

Cell lengths 4.8519, 4.8519, 6.0891 Å; angles 90.00, 90.00, 113.34 degrees
Fractional positions:
Li: 0.1720 0.8280 0.7500
Li: 0.8280 0.1720 0.2500
Ni: 0.5000 0.5000 0.0000
Ni: 0.5000 0.5000 0.5000
P: 0.1503 0.8497 0.2500
P: 0.8497 0.1503 0.7500
O: 0.2033 0.2637 0.7500
O: 0.2556 0.7444 0.0425
O: 0.2556 0.7444 0.4575
O: 0.2637 0.2033 0.2500
O: 0.7363 0.7967 0.7500
O: 0.7444 0.2556 0.5425
O: 0.7444 0.2556 0.9575
O: 0.7967 0.7363 0.2500

Entry 7:
LiNiP5O15 | PBEsol | optimized geometry

Calculated values
- E_form (uncorrected): -1840 meV per atom

Cell lengths 4.9072, 9.1641, 12.9674 Å; angles 90.00, 110.15, 90.00 degrees
Fractional positions:
Li: 0.0000 0.1756 0.0000
Li: 0.0000 0.8244 0.5000
Ni: 0.0810 0.4821 0.6167
Ni: 0.0810 0.5179 0.1167
P: 0.0919 0.4799 0.8657
P: 0.0919 0.5201 0.3657
P: 0.4068 0.0133 0.4306
P: 0.4068 0.9867 0.9306
P: 0.5019 0.3195 0.5271
P: 0.5019 0.6805 0.0271
P: 0.5165 0.0468 0.2210
P: 0.5165 0.9532 0.7210
P: 0.6525 0.3474 0.1991
P: 0.6525 0.6526 0.6991
O: 0.0498 0.4005 0.9607
O: 0.0498 0.5995 0.4607
O: 0.1174 0.0620 0.8961
O: 0.1174 0.9380 0.3961
O: 0.1428 0.4008 0.7730
O: 0.1428 0.5992 0.2730
O: 0.2418 0.0565 0.1258
O: 0.2418 0.9435 0.6258
O: 0.3269 0.3598 0.1740
O: 0.3269 0.6402 0.6740
O: 0.3489 0.4031 0.4141
O: 0.3489 0.5969 0.9141
O: 0.3941 0.1590 0.4997
O: 0.3941 0.8410 0.9997
O: 0.3990 0.3727 0.6181
O: 0.3990 0.6273 0.1181
O: 0.4575 0.0950 0.3302
O: 0.4575 0.9050 0.8302
O: 0.6554 0.0797 0.9936
O: 0.6554 0.9203 0.4936
O: 0.6885 0.0919 0.7356
O: 0.6885 0.9081 0.2356
O: 0.7319 0.1812 0.2191
O: 0.7319 0.8188 0.7191
O: 0.7677 0.4010 0.1114
O: 0.7677 0.5990 0.6114
O: 0.8121 0.4162 0.3160
O: 0.8121 0.5838 0.8160
O: 0.8286 0.3264 0.5528
O: 0.8286 0.6736 0.0528